The following is a DFT calculation (PBE) of a geometry-optimized LiCrCuAs2 structure.

Structure (extended XYZ):
```
5
Lattice="4.5871 0.0000 0.0000 0.0000 4.7654 0.0000 0.0000 0.0000 4.5871" Properties=species:S:1:pos:R:3 pbc="T T T"
Cr 0.0000 0.0000 0.0000
Cu 2.2935 2.3827 2.2935
As 2.2935 0.0000 0.0000
As 0.0000 0.0000 2.2935
Li 0.0000 2.3827 0.0000
```

uncorrected energy	-4.46	eV/atom
magnetization	2.0	μB per formula unit
formation energy	0.52	eV per atom